1.
First-principles (PBE-GGA) data for an optimized crystal structure of CdGaPb3, as listed in Alexandria.

```
20
Lattice="8.536 0.000 0.000 0.000 6.610 0.000 -3.191 0.000 9.906" Properties=species:S:1:pos:R:3 pbc="T T T"
Cd 0.098 0.707 1.321
Cd -1.498 2.598 6.274
Cd 6.843 4.012 3.632
Cd 5.247 5.903 8.585
Ga 1.228 4.887 4.437
Ga -0.367 5.028 9.390
Ga 5.712 1.582 0.516
Ga 4.116 1.723 5.469
Pb 0.614 3.966 1.470
Pb -0.981 5.949 6.423
Pb 1.038 1.629 4.386
Pb -0.557 1.676 9.340
Pb 1.499 3.607 7.302
Pb 3.095 6.308 2.348
Pb 2.250 0.302 7.558
Pb 3.846 3.003 2.605
Pb 5.902 4.934 0.567
Pb 4.307 4.981 5.520
Pb 6.326 0.661 3.483
Pb 4.731 2.644 8.436
```

Properties
Its formation energy is 0.065 eV/atom. Its energy above the most stable polymorph in this dataset is 0.00 kJ per mole of atoms. The space-group type is No. 14. The magnetic moment is 0.00 μB per atom.

---

2.
First-principles (PBE-GGA) data for an optimized crystal structure of Cd3Ga2Pb, as listed in Alexandria.

```
12
Lattice="7.384 -4.583 0.000 7.384 4.583 0.000 -1.268 0.000 4.257" Properties=species:S:1:pos:R:3 pbc="T T T"
Cd 4.394 2.631 1.385
Cd 7.384 3.118 0.000
Cd 9.106 2.631 2.871
Cd 4.394 -2.631 1.385
Cd 7.384 -3.118 0.000
Cd 9.106 -2.631 2.871
Ga 2.514 0.000 0.796
Ga 6.750 1.301 2.128
Ga 6.750 -1.301 2.128
Ga 10.986 0.000 3.461
Pb 4.219 0.000 3.675
Pb 9.281 0.000 0.582
```

Properties
Its formation energy is 0.056 eV/atom. The space-group type is No. 12. The magnetic moment is 0.00 μB per atom.

---

3.
First-principles (PBE-GGA) data for an optimized crystal structure of Cd2GaPb8, as listed in Alexandria.

```
11
Lattice="9.483 -2.518 0.000 9.483 2.518 0.000 -2.026 0.000 6.873" Properties=species:S:1:pos:R:3 pbc="T T T"
Cd 2.950 0.000 1.651
Cd 13.991 0.000 5.221
Ga 8.471 0.000 3.436
Pb -0.236 0.000 1.743
Pb 2.336 0.000 5.620
Pb 5.540 0.000 3.567
Pb 7.484 0.000 0.237
Pb 9.457 0.000 6.636
Pb 11.401 0.000 3.305
Pb 14.605 0.000 1.252
Pb 17.177 0.000 5.129
```

Properties
Its formation energy is 0.067 eV/atom. The space-group type is No. 12. The magnetic moment is 0.00 μB per atom.

---

4.
First-principles (PBE-GGA) data for an optimized crystal structure of Cd14GaPb, as listed in Alexandria.

```
16
Lattice="6.391 0.000 0.000 0.000 6.391 0.000 0.000 0.000 9.060" Properties=species:S:1:pos:R:3 pbc="T T T"
Cd 0.000 0.000 0.000
Cd 0.000 3.196 0.000
Cd 0.000 3.196 4.530
Cd 1.561 1.561 2.218
Cd 1.561 1.561 6.842
Cd 1.561 4.830 2.218
Cd 1.561 4.830 6.842
Cd 3.196 0.000 0.000
Cd 3.196 0.000 4.530
Cd 3.196 3.196 0.000
Cd 4.830 1.561 2.218
Cd 4.830 1.561 6.842
Cd 4.830 4.830 2.218
Cd 4.830 4.830 6.842
Ga 0.000 0.000 4.530
Pb 3.196 3.196 4.530
```

Properties
Its formation energy is 0.034 eV/atom. The space-group type is No. 123. The magnetic moment is 0.00 μB per atom.

---

Look up the magnetic moment of the second one.
0.00 μB per atom

---

magnetic moment of number 1 (CdGaPb3)?
0.00 μB per atom